The following is a PBE calculation of a relaxed structure of KTb2MgTe4, from Alexandria via LeMat-Bulk.

POSCAR file:
```
KTb2MgTe4
1.0
2.228 -7.612 0.000
2.228 7.612 0.000
0.000 0.000 15.815
K Tb Mg Te
2 4 2 8
Cartesian
2.228 5.773 11.861
2.228 -5.773 3.954
2.228 1.922 8.793
2.228 1.922 14.929
2.228 -1.922 0.886
2.228 -1.922 7.022
2.228 5.171 3.954
2.228 -5.171 11.861
0.000 0.000 0.000
0.000 0.000 7.907
2.228 3.555 1.735
2.228 3.555 6.173
2.228 0.826 11.861
2.228 -0.826 3.954
2.228 -3.555 9.642
2.228 -3.555 14.080
```

Calculated values
The value obtained for the density of states at the Fermi level is 6.642 states/eV/cell. The mass density comes out at 5.5 Mg/m³. The symmetry is Cmcm (63). As for the energy relative to the elements, uncorrected: -1.19 eV/atom.

The following is a PBE calculation of a relaxed structure of KMgTc2, from Alexandria via LeMat-Bulk.

POSCAR file:
```
KMgTc2
1.0
5.481 0.000 0.000
0.000 5.481 0.000
0.000 0.000 2.613
K Mg Tc
1 1 2
Cartesian
0.000 0.000 0.000
2.740 2.740 0.000
0.000 2.740 1.306
2.740 0.000 1.306
```

Calculated values
The value obtained for the density of states at the Fermi level is 6.108 states/eV/cell. The mass density comes out at 5.5 Mg/m³. The value obtained for the formation energy from the elements is 1.498 eV/atom. The symmetry is P4/mmm (123).

The following is a PBE calculation of a relaxed structure of KMgTc2, from Alexandria via LeMat-Bulk.

POSCAR file:
```
KMgTc2
1.0
-1.734 2.424 6.872
1.734 -2.424 6.872
1.734 2.424 -6.872
K Mg Tc
1 1 2
Cartesian
0.000 0.000 0.000
1.734 0.000 3.553
0.000 0.000 9.032
0.000 2.424 3.625
```

Calculated values
The value obtained for the density of states at the Fermi level is 4.244 states/eV/cell. The mass density comes out at 3.7 Mg/m³. The value obtained for the formation energy from the elements is 0.833 eV/atom. The symmetry is Imm2 (44).

The following is a PBE calculation of a relaxed structure of KMgTc2, from Alexandria via LeMat-Bulk.

POSCAR file:
```
KMgTc2
1.0
1.635 -2.141 0.000
1.635 2.141 0.000
0.000 0.000 10.474
K Mg Tc
1 1 2
Cartesian
0.000 0.000 0.000
0.000 0.000 5.237
1.635 0.000 2.968
1.635 0.000 7.507
```

Calculated values
The value obtained for the density of states at the Fermi level is 3.620 states/eV/cell. The mass density comes out at 5.9 Mg/m³. The value obtained for the formation energy from the elements is 0.808 eV/atom. The symmetry is Cmmm (65).